<i>
This record from the Alexandria database describes an optimized crystal structure of Li3CI. The functional is PBE-GGA.

The structure in extended XYZ format:
```
5
Lattice="4.396 0.000 0.000 0.000 4.396 0.000 0.000 0.000 4.396" Properties=species:S:1:pos:R:3 pbc="T T T"
Li 0.000 0.000 2.198
Li 0.000 2.198 0.000
Li 2.198 0.000 0.000
C 0.000 0.000 0.000
I 2.198 2.198 2.198
```

## Properties
M_tot (μB/f.u.): 2.00

<ii>
This record from the Alexandria database describes an optimized crystal structure of Li3CI. The functional is PBE-GGA.

The structure in extended XYZ format:
```
5
Lattice="5.069 0.000 0.000 0.000 5.069 0.000 0.000 0.000 5.069" Properties=species:S:1:pos:R:3 pbc="T T T"
Li 0.000 0.000 2.534
Li 0.000 2.534 0.000
Li 2.534 0.000 0.000
C 2.534 2.534 2.534
I 0.000 0.000 0.000
```

## Properties
M_tot (μB/f.u.): 2.00

Of them, <i> has the highest stability.

<i>
This record from the Alexandria database describes an optimized crystal structure of LiCIN2. The functional is PBE-GGA.

The structure in extended XYZ format:
```
5
Lattice="3.329 0.000 0.000 0.000 3.329 0.000 0.000 0.000 7.782" Properties=species:S:1:pos:R:3 pbc="T T T"
Li 0.000 0.000 0.000
C 1.665 1.665 3.891
I 1.665 1.665 0.000
N 0.000 1.665 3.891
N 1.665 0.000 3.891
```

## Properties
M_tot (μB/f.u.): 0.00

<ii>
This record from the Alexandria database describes an optimized crystal structure of LiCIN2. The functional is PBE-GGA.

The structure in extended XYZ format:
```
5
Lattice="3.569 0.000 0.000 0.000 3.569 0.000 0.000 0.000 7.470" Properties=species:S:1:pos:R:3 pbc="T T T"
Li 0.000 0.000 0.000
C 1.785 1.785 3.735
I 0.000 0.000 3.735
N 0.000 1.785 0.000
N 1.785 0.000 0.000
```

## Properties
M_tot (μB/f.u.): 3.26

Of them, <i> has the highest stability.

<i>
This record from the Alexandria database describes an optimized crystal structure of LiCI2O. The functional is PBE-GGA.

The structure in extended XYZ format:
```
5
Lattice="5.724 0.000 0.000 0.000 5.724 0.000 0.000 0.000 3.209" Properties=species:S:1:pos:R:3 pbc="T T T"
Li 0.000 0.000 0.000
C 2.862 2.862 1.605
I 0.000 2.862 1.605
I 2.862 0.000 1.605
O 2.862 2.862 0.000
```

## Properties
M_tot (μB/f.u.): 0.00

<ii>
This record from the Alexandria database describes an optimized crystal structure of LiCI2O. The functional is PBE-GGA.

The structure in extended XYZ format:
```
5
Lattice="5.210 0.000 0.000 0.000 5.210 0.000 0.000 0.000 3.932" Properties=species:S:1:pos:R:3 pbc="T T T"
Li 0.000 0.000 0.000
C 0.000 0.000 1.966
I 0.000 2.605 0.000
I 2.605 0.000 0.000
O 2.605 2.605 1.966
```

## Properties
M_tot (μB/f.u.): 2.52

Of them, <i> has the highest stability.

<i>
This record from the Alexandria database describes an optimized crystal structure of LiSbCI2. The functional is PBE-GGA.

The structure in extended XYZ format:
```
5
Lattice="5.339 0.000 0.000 0.000 5.339 0.000 0.000 0.000 5.121" Properties=species:S:1:pos:R:3 pbc="T T T"
Li 0.000 0.000 0.000
Sb 0.000 0.000 2.560
C 2.669 2.669 2.560
I 0.000 2.669 0.000
I 2.669 0.000 0.000
```

## Properties
M_tot (μB/f.u.): 1.81

<ii>
This record from the Alexandria database describes an optimized crystal structure of LiSbCI2. The functional is PBE-GGA.

The structure in extended XYZ format:
```
5
Lattice="5.700 0.000 0.000 0.000 5.700 0.000 0.000 0.000 4.387" Properties=species:S:1:pos:R:3 pbc="T T T"
Li 0.000 0.000 0.000
Sb 2.850 2.850 0.000
C 2.850 2.850 2.194
I 0.000 2.850 2.194
I 2.850 0.000 2.194
```

## Properties
M_tot (μB/f.u.): 0.00

Of them, <ii> has the highest stability.

<i>
This record from the Alexandria database describes an optimized crystal structure of LiTe2CI. The functional is PBE-GGA.

The structure in extended XYZ format:
```
5
Lattice="5.113 0.000 0.000 0.000 5.113 0.000 0.000 0.000 5.245" Properties=species:S:1:pos:R:3 pbc="T T T"
Li 0.000 0.000 0.000
Te 0.000 2.556 0.000
Te 2.556 0.000 0.000
C 2.556 2.556 2.622
I 0.000 0.000 2.622
```

## Properties
M_tot (μB/f.u.): 1.12

<ii>
This record from the Alexandria database describes an optimized crystal structure of LiTe2CI. The functional is PBE-GGA.

The structure in extended XYZ format:
```
5
Lattice="4.549 0.000 0.000 0.000 4.549 0.000 0.000 0.000 9.109" Properties=species:S:1:pos:R:3 pbc="T T T"
Li 0.000 0.000 0.000
Te 0.000 2.275 4.555
Te 2.275 0.000 4.555
C 2.275 2.275 4.555
I 2.275 2.275 0.000
```

## Properties
M_tot (μB/f.u.): 0.68

Of them, <ii> has the highest stability.

<i>
This record from the Alexandria database describes an optimized crystal structure of LiTeCI2. The functional is PBE-GGA.

The structure in extended XYZ format:
```
5
Lattice="5.335 0.000 0.000 0.000 5.335 0.000 0.000 0.000 5.246" Properties=species:S:1:pos:R:3 pbc="T T T"
Li 0.000 0.000 0.000
Te 0.000 0.000 2.623
C 2.667 2.667 2.623
I 0.000 2.667 0.000
I 2.667 0.000 0.000
```

## Properties
M_tot (μB/f.u.): 0.83

<ii>
This record from the Alexandria database describes an optimized crystal structure of LiTeCI2. The functional is PBE-GGA.

The structure in extended XYZ format:
```
5
Lattice="5.298 0.000 0.000 0.000 5.298 0.000 0.000 0.000 4.723" Properties=species:S:1:pos:R:3 pbc="T T T"
Li 0.000 0.000 0.000
Te 2.649 2.649 0.000
C 2.649 2.649 2.362
I 0.000 2.649 2.362
I 2.649 0.000 2.362
```

## Properties
M_tot (μB/f.u.): 0.00

Of them, <ii> has the highest stability.

<i>
This record from the Alexandria database describes an optimized crystal structure of Mg3CI. The functional is PBE-GGA.

The structure in extended XYZ format:
```
5
Lattice="4.599 0.000 0.000 0.000 4.599 0.000 0.000 0.000 4.599" Properties=species:S:1:pos:R:3 pbc="T T T"
Mg 0.000 0.000 2.300
Mg 0.000 2.300 0.000
Mg 2.300 0.000 0.000
C 0.000 0.000 0.000
I 2.300 2.300 2.300
```

## Properties
M_tot (μB/f.u.): 0.00

<ii>
This record from the Alexandria database describes an optimized crystal structure of Mg3CI. The functional is PBE-GGA.

The structure in extended XYZ format:
```
5
Lattice="5.582 0.000 0.000 0.000 5.582 0.000 0.000 0.000 5.582" Properties=species:S:1:pos:R:3 pbc="T T T"
Mg 0.000 0.000 2.791
Mg 0.000 2.791 0.000
Mg 2.791 0.000 0.000
C 2.791 2.791 2.791
I 0.000 0.000 0.000
```

## Properties
M_tot (μB/f.u.): 0.00

Of them, <i> has the highest stability.

<i>
This record from the Alexandria database describes an optimized crystal structure of MgCI2. The functional is PBE-GGA.

The structure in extended XYZ format:
```
8
Lattice="-2.778 2.778 7.579 2.778 -2.778 7.579 2.778 2.778 -7.579" Properties=species:S:1:pos:R:3 pbc="T T T"
Mg 0.000 0.000 0.000
Mg 0.000 2.778 3.789
C 2.778 0.000 3.789
C 0.000 0.000 7.579
I 1.389 -1.140 5.684
I 1.638 1.389 1.895
I 1.389 3.918 -1.895
I 1.140 1.389 9.473
```

## Properties
M_tot (μB/f.u.): 0.00

<ii>
This record from the Alexandria database describes an optimized crystal structure of MgCI2. The functional is PBE-GGA.

The structure in extended XYZ format:
```
4
Lattice="0.000 3.701 3.701 3.701 0.000 3.701 3.701 3.701 0.000" Properties=species:S:1:pos:R:3 pbc="T T T"
Mg 0.000 0.000 0.000
C 3.701 3.701 3.701
I 1.850 1.850 1.850
I 5.551 5.551 5.551
```

## Properties
M_tot (μB/f.u.): 2.00

Of them, <i> has the highest stability.

<i>
This record from the Alexandria database describes an optimized crystal structure of MgCIO2. The functional is PBE-GGA.

The structure in extended XYZ format:
```
5
Lattice="3.903 0.000 0.000 0.000 3.903 0.000 0.000 0.000 4.423" Properties=species:S:1:pos:R:3 pbc="T T T"
Mg 0.000 0.000 0.000
C 1.951 1.951 2.212
I 1.951 1.951 0.000
O 0.000 1.951 2.212
O 1.951 0.000 2.212
```

## Properties
M_tot (μB/f.u.): 0.21

<ii>
This record from the Alexandria database describes an optimized crystal structure of MgCIO2. The functional is PBE-GGA.

The structure in extended XYZ format:
```
5
Lattice="3.737 0.000 0.000 0.000 3.737 0.000 0.000 0.000 7.358" Properties=species:S:1:pos:R:3 pbc="T T T"
Mg 0.000 0.000 0.000
C 1.869 1.869 3.679
I 0.000 0.000 3.679
O 0.000 1.869 0.000
O 1.869 0.000 0.000
```

## Properties
M_tot (μB/f.u.): 0.80

Of them, <ii> has the highest stability.

<i>
This record from the Alexandria database describes an optimized crystal structure of MgCI2O. The functional is PBE-GGA.

The structure in extended XYZ format:
```
5
Lattice="5.765 0.000 0.000 0.000 5.765 0.000 0.000 0.000 3.746" Properties=species:S:1:pos:R:3 pbc="T T T"
Mg 0.000 0.000 0.000
C 2.883 2.883 1.873
I 0.000 2.883 0.000
I 2.883 0.000 0.000
O 0.000 0.000 1.873
```

## Properties
M_tot (μB/f.u.): 0.07

<ii>
This record from the Alexandria database describes an optimized crystal structure of MgCI2O. The functional is PBE-GGA.

The structure in extended XYZ format:
```
5
Lattice="5.249 0.000 0.000 0.000 5.249 0.000 0.000 0.000 3.574" Properties=species:S:1:pos:R:3 pbc="T T T"
Mg 0.000 0.000 0.000
C 2.624 2.624 1.787
I 0.000 2.624 1.787
I 2.624 0.000 1.787
O 2.624 2.624 0.000
```

## Properties
M_tot (μB/f.u.): 0.00

Of them, <ii> has the highest stability.

<i>
This record from the Alexandria database describes an optimized crystal structure of MgTeCI2. The functional is PBE-GGA.

The structure in extended XYZ format:
```
5
Lattice="5.636 0.000 0.000 0.000 5.636 0.000 0.000 0.000 5.756" Properties=species:S:1:pos:R:3 pbc="T T T"
Mg 0.000 0.000 0.000
Te 0.000 0.000 2.878
C 2.818 2.818 2.878
I 0.000 2.818 0.000
I 2.818 0.000 0.000
```

## Properties
M_tot (μB/f.u.): 0.23

<ii>
This record from the Alexandria database describes an optimized crystal structure of MgTeCI2. The functional is PBE-GGA.

The structure in extended XYZ format:
```
5
Lattice="5.110 0.000 0.000 0.000 5.110 0.000 0.000 0.000 4.836" Properties=species:S:1:pos:R:3 pbc="T T T"
Mg 0.000 0.000 0.000
Te 2.555 2.555 0.000
C 2.555 2.555 2.418
I 0.000 2.555 2.418
I 2.555 0.000 2.418
```

## Properties
M_tot (μB/f.u.): 0.00

Of them, <ii> has the highest stability.

<i>
This record from the Alexandria database describes an optimized crystal structure of MgTe2CI. The functional is PBE-GGA.

The structure in extended XYZ format:
```
5
Lattice="5.571 0.000 0.000 0.000 5.571 0.000 0.000 0.000 5.561" Properties=species:S:1:pos:R:3 pbc="T T T"
Mg 0.000 0.000 0.000
Te 0.000 2.786 0.000
Te 2.786 0.000 0.000
C 2.786 2.786 2.781
I 0.000 0.000 2.781
```

## Properties
M_tot (μB/f.u.): 0.11

<ii>
This record from the Alexandria database describes an optimized crystal structure of MgTe2CI. The functional is PBE-GGA.

The structure in extended XYZ format:
```
5
Lattice="4.871 0.000 0.000 0.000 4.871 0.000 0.000 0.000 5.054" Properties=species:S:1:pos:R:3 pbc="T T T"
Mg 0.000 0.000 0.000
Te 0.000 2.436 2.527
Te 2.436 0.000 2.527
C 2.436 2.436 2.527
I 2.436 2.436 0.000
```

## Properties
M_tot (μB/f.u.): 0.00

Of them, <ii> has the highest stability.

<i>
This record from the Alexandria database describes an optimized crystal structure of MnCI3. The functional is PBE-GGA.

The structure in extended XYZ format:
```
5
Lattice="5.534 0.000 0.000 0.000 5.534 0.000 0.000 0.000 5.534" Properties=species:S:1:pos:R:3 pbc="T T T"
Mn 0.000 0.000 0.000
C 2.767 2.767 2.767
I 0.000 0.000 2.767
I 0.000 2.767 0.000
I 2.767 0.000 0.000
```

## Properties
M_tot (μB/f.u.): 6.00

<ii>
This record from the Alexandria database describes an optimized crystal structure of MnCI3. The functional is PBE-GGA.

The structure in extended XYZ format:
```
5
Lattice="5.092 0.000 0.000 0.000 5.092 0.000 0.000 0.000 5.092" Properties=species:S:1:pos:R:3 pbc="T T T"
Mn 0.000 0.000 0.000
C 2.546 2.546 2.546
I 0.000 2.546 2.546
I 2.546 0.000 2.546
I 2.546 2.546 0.000
```

## Properties
M_tot (μB/f.u.): 5.05

Of them, <ii> has the highest stability.

<i>
This record from the Alexandria database describes an optimized crystal structure of MnCIN2. The functional is PBE-GGA.

The structure in extended XYZ format:
```
5
Lattice="3.667 0.000 0.000 0.000 3.667 0.000 0.000 0.000 4.312" Properties=species:S:1:pos:R:3 pbc="T T T"
Mn 0.000 0.000 0.000
C 1.833 1.833 2.156
I 1.833 1.833 0.000
N 0.000 1.833 2.156
N 1.833 0.000 2.156
```

## Properties
M_tot (μB/f.u.): 0.12

<ii>
This record from the Alexandria database describes an optimized crystal structure of MnCIN2. The functional is PBE-GGA.

The structure in extended XYZ format:
```
5
Lattice="3.551 0.000 0.000 0.000 3.551 0.000 0.000 0.000 5.764" Properties=species:S:1:pos:R:3 pbc="T T T"
Mn 0.000 0.000 0.000
C 1.776 1.776 2.882
I 0.000 0.000 2.882
N 0.000 1.776 0.000
N 1.776 0.000 0.000
```

## Properties
M_tot (μB/f.u.): 1.25

Of them, <ii> has the highest stability.